Compound: MgInCo2
Source: Alexandria via LeMat-Bulk
Functional: PBE-GGA
Structure: optimized geometry

* space group: I-4m2 (119)
* theoretical density: 7.1 g/cm3
* total DFT energy (no corrections): -17.8 eV/cell

a = 4.905 Å, b = 4.905 Å, c = 4.905 Å
α = 133.97°, β = 133.97°, γ = 67.13°
Fractional positions:
Mg: 0.000 0.000 0.000
In: 0.750 0.250 0.500
Co: 0.250 0.750 0.500
Co: 0.500 0.500 0.000